VASP calculation (GGA+U) on an optimized crystal structure of Li2VP2HO8.

Cell lengths 4.8611, 7.6207, 8.1624 Å; angles 90.00, 90.00, 104.05 degrees
Each line ends with the local moment (μB).
Fractional coordinates of all 28 atoms:
P  0.3816  0.5194  0.6484  0.01
P  0.1166  0.9851  0.3483  0.01
P  0.8834  0.0149  0.8483  0.01
P  0.6184  0.4806  0.1484  0.01
H  0.7734  0.7596  0.4906  0.00
H  0.2266  0.2404  0.9906  0.00
V  0.2513  0.7470  0.9998  1.91
V  0.7487  0.2530  0.4998  1.91
Li  0.8579  0.4081  0.8614  0.00
Li  0.1421  0.5919  0.3614  0.00
Li  0.3686  0.9067  0.6375  0.00
Li  0.6314  0.0933  0.1375  0.00
O  0.4912  0.3007  0.0578  0.00
O  0.1080  0.9036  0.8272  -0.01
O  0.3606  0.0860  0.4599  -0.01
O  0.7667  0.0631  0.6841  0.00
O  0.2629  0.5605  0.8156  0.00
O  0.8643  0.5875  0.0391  -0.01
O  0.3974  0.5966  0.1708  -0.01
O  0.8920  0.0964  0.3272  -0.01
O  0.2333  0.9369  0.1841  0.00
O  0.6394  0.9140  0.9599  -0.01
O  0.7371  0.4395  0.3156  0.00
O  0.6026  0.4034  0.6708  -0.01
O  0.5088  0.6993  0.5578  0.00
O  0.1357  0.4125  0.5391  -0.01
O  0.9867  0.8008  0.4396  0.00
O  0.0133  0.1992  0.9396  0.00

Properties
calculated volume	10.476	Å³/atom
relative energy among the computed polymorphs	0.000	eV/atom
symmetry	P2_1 (4)